Record 1
VASP calculation (PBE-GGA) on a geometry-optimized Li2ReCl structure.

abc: 2.7804 2.8300 16.9674
angles: 90.00 90.00 90.00
With the nearest neighbours (Å) after each atom.
Space group Imm2 (No. 44)
Asymmetric unit:
Li (0.0000, 0.0000, 0.0000) [2 per cell]  4 Cl 2.31
Li (0.0000, 0.5000, 0.1726) [2 per cell]  4 Li 2.78-2.83, 4 Re 2.79
Re (0.0000, 0.5000, 0.7886) [2 per cell]  2 Cl 2.78, 4 Re 2.78-2.83, 4 Li 2.79
Cl (0.0000, 0.0000, 0.4302) [2 per cell]  4 Li 2.31

Computed properties:
Its relative energy among the computed polymorphs is 427.2 meV/atom. As for the density of states at the Fermi level: 4.3 states/eV per cell.

=====

Record 2
VASP calculation (PBE-GGA) on a geometry-optimized LiReCl2 structure.

abc: 6.2024 6.2024 6.2024
angles: 90.00 90.00 90.00
With the nearest neighbours (Å) after each atom.
Space group Fm-3m (No. 225)
Asymmetric unit:
Li (0.0000, 0.0000, 0.0000) [4 per cell]  8 Cl 2.69
Re (0.0000, 0.0000, 0.5000) [4 per cell]  8 Cl 2.69
Cl (0.2500, 0.2500, 0.2500) [8 per cell]  4 Li 2.69, 4 Re 2.69

Computed properties:
Its relative energy among the computed polymorphs is 815.1 meV/atom. As for the density of states at the Fermi level: 15.7 states/eV per cell.

=====

Record 3
VASP calculation (PBE-GGA) on a geometry-optimized LiReCl2 structure.

abc: 3.0490 3.0490 23.4156
angles: 90.00 90.00 120.00
With the nearest neighbours (Å) after each atom.
Space group R-3m (No. 166, hexagonal axes)
Asymmetric unit:
Li (0.0000, 0.0000, 0.0000) [3 per cell]  6 Cl 2.36
Re (0.0000, 0.0000, 0.5000) [3 per cell]  2 Cl 2.33
Cl (0.0000, 0.0000, 0.4006) [6 per cell]  1 Re 2.33, 3 Li 2.36

Computed properties:
Its relative energy among the computed polymorphs is 0.0 meV/atom. As for the density of states at the Fermi level: 4.1 states/eV per cell.

=====

Record 4
VASP calculation (PBE-GGA) on a geometry-optimized Li2ReCl structure.

abc: 8.8876 2.8152 4.9595
angles: 90.00 111.33 90.00
With the nearest neighbours (Å) after each atom.
Space group Cm (No. 8)
Asymmetric unit:
Li (0.0000, 0.0000, 0.0000) [2 per cell]  2 Cl 2.45, 3 Li 2.53-2.68
Li (0.2249, 0.0000, 0.8025) [2 per cell]  2 Cl 2.44, 3 Li 2.53-2.68
Re (0.2916, 0.5000, 0.3427) [2 per cell]  3 Cl 2.42-2.52
Cl (0.0395, 0.5000, 0.4251) [2 per cell]  3 Re 2.42-2.52, 4 Li 2.44-2.45

Computed properties:
Its relative energy among the computed polymorphs is 518.4 meV/atom. As for the density of states at the Fermi level: 4.0 states/eV per cell.

=====

Record 5
VASP calculation (PBE-GGA) on a geometry-optimized LiReCl structure.

abc: 2.8834 5.0471 12.6199
angles: 90.00 90.00 90.00
With the nearest neighbours (Å) after each atom.
Space group Fmm2 (No. 42)
Asymmetric unit:
Li (0.0000, 0.0000, 0.0000) [4 per cell]  2 Cl 2.38
Re (0.0000, 0.0000, 0.3161) [4 per cell]  2 Cl 2.55, 2 Li 2.73
Cl (0.0000, 0.0000, 0.6498) [4 per cell]  2 Li 2.38, 2 Re 2.55

Computed properties:
Its relative energy among the computed polymorphs is 69.6 meV/atom. As for the density of states at the Fermi level: 10.4 states/eV per cell.

=====

Record 6
VASP calculation (PBE-GGA) on a geometry-optimized LiRe2Cl structure.

abc: 3.0742 3.0742 7.7552
angles: 90.00 90.00 90.00
With the nearest neighbours (Å) after each atom.
Space group P4mm (No. 99)
Asymmetric unit:
Li (0.0000, 0.0000, 0.0000) [1 per cell]  4 Cl 2.29
Re (0.0000, 0.0000, 0.4146) [1 per cell]  4 Re 2.54
Re (0.5000, 0.5000, 0.2445) [1 per cell]  4 Re 2.54, 1 Cl 2.63
Cl (0.5000, 0.5000, 0.9060) [1 per cell]  4 Li 2.29

Computed properties:
Its relative energy among the computed polymorphs is 12.4 meV/atom. As for the density of states at the Fermi level: 0.7 states/eV per cell.

=====

Record 7
VASP calculation (PBE-GGA) on a geometry-optimized LiRe2Cl structure.

abc: 5.0437 11.0591 3.1039
angles: 90.00 127.89 90.00
With the nearest neighbours (Å) after each atom.
Space group C2/m (No. 12)
Asymmetric unit:
Li (0.0000, 0.0000, 0.0000) [2 per cell]  4 Cl 2.52-2.53
Re (0.2500, 0.2500, 0.0000) [4 per cell]  4 Re 2.52-2.53
Cl (0.0000, 0.5000, 0.0000) [2 per cell]  4 Li 2.52-2.53

Computed properties:
Its relative energy among the computed polymorphs is 596.8 meV/atom. As for the density of states at the Fermi level: 6.3 states/eV per cell.

=====

Record 8
VASP calculation (PBE-GGA) on a geometry-optimized LiReCl structure.

abc: 4.3416 4.3416 2.7118
angles: 90.00 90.00 120.00
With the nearest neighbours (Å) after each atom.
Space group P-6m2 (No. 187)
Asymmetric unit:
Li (0.0000, 0.0000, 0.0000) [1 per cell]  2 Li 2.71, 6 Cl 2.85, 6 Re 2.85
Re (0.6667, 0.3333, 0.5000) [1 per cell]  3 Cl 2.51, 2 Re 2.71
Cl (0.3333, 0.6667, 0.5000) [1 per cell]  3 Re 2.51, 2 Cl 2.71

Computed properties:
Its relative energy among the computed polymorphs is 392.9 meV/atom. As for the density of states at the Fermi level: 3.2 states/eV per cell.

=====

Number 1: ΔE_f (raw) 0.192 eV/atom. Number 2: ΔE_f (raw) 0.469 eV/atom. Number 3: ΔE_f (raw) -0.347 eV/atom. Number 4: ΔE_f (raw) 0.284 eV/atom. Number 5: ΔE_f (raw) 0.375 eV/atom. Number 6: ΔE_f (raw) -0.039 eV/atom. Number 7: ΔE_f (raw) 0.546 eV/atom. Number 8: ΔE_f (raw) 0.699 eV/atom.